{
  "formula": "MgIrO2",
  "functional": "PBE",
  "state": "relaxed",
  "lattice_angstrom": [[0.000, 2.764, 2.764], [2.764, 0.000, 2.764], [2.764, 2.764, 0.000]],
  "species": ["O", "O", "Ir", "Mg"],
  "fractional_positions": [[0.750, 0.750, 0.750], [0.250, 0.250, 0.250], [0.500, 0.500, 0.500], [0.000, 0.000, 0.000]],
  "formation_energy_uncorrected_ev_per_atom": -0.425,
  "magnetic_moment_mub_per_fu": 0.0
}